{"formula": "AcErTlIr", "functional": "PBE-GGA", "state": "optimized geometry", "spacegroup": "F-43m", "formation_energy_ev_per_fu": -1.224, "lattice_angstrom": [[-2.2790, -2.5207, -4.0926], [2.7239, -0.7608, -4.5054], [1.6093, -4.8894, -1.3418]], "species": ["Ac", "Tl", "Ir", "Er"], "fractional_positions": [[0.5000, 0.5000, 0.5000], [0.2500, 0.2500, 0.2500], [0.7500, 0.7500, 0.7500], [0.0000, 0.0000, 0.0000]]}

{"formula": "KAc2Er", "functional": "PBE-GGA", "state": "optimized geometry", "spacegroup": "R-3m", "formation_energy_ev_per_fu": 0.692, "lattice_angstrom": [[-0.9662, 3.7184, -0.4888], [-2.0519, 1.0758, -3.1034], [-12.7856, -0.5362, 5.8509]], "species": ["Ac", "Ac", "K", "Er"], "fractional_positions": [[0.0965, 0.0965, 0.7105], [0.9035, 0.9035, 0.2895], [0.0000, 0.0000, 0.0000], [0.5000, 0.5000, 0.5000]]}

{"formula": "K4Ac3ErO8", "functional": "PBE-GGA", "state": "optimized geometry", "raw_formation_energy_ev_per_atom": -2.589, "spacegroup": "R-3m", "lattice_angstrom": [[7.5271, 0.0000, 0.0000], [0.0000, 7.6852, 0.1054], [-3.7635, -3.7609, 5.3237]], "species": ["O", "O", "O", "O", "O", "O", "O", "O", "Er", "Ac", "Ac", "Ac", "K", "K", "K", "K"], "fractional_positions": [[0.2491, 0.3105, 0.0297], [0.2672, 0.3019, 0.5345], [0.7328, 0.6981, 0.4655], [0.2194, 0.6896, 0.4389], [0.7806, 0.3105, 0.0297], [0.2194, 0.6895, 0.9703], [0.7509, 0.6895, 0.9703], [0.7806, 0.3104, 0.5611], [0.0000, 0.5000, 0.0000], [0.5000, 0.5000, 0.5000], [0.0000, 0.5000, 0.5000], [0.5000, 0.5000, 0.0000], [0.0000, 0.0000, 0.0000], [0.5000, 0.0000, 0.5000], [0.5000, 0.0000, 0.0000], [0.0000, 0.0000, 0.5000]]}